No. 1
Below is a relaxed V2IrW crystal, with properties calculated at the PBE level.

Values from the calculation:
**Space group**: No. 122
**DFT formation energy**: 0.4431 eV/atom
**Theoretical density**: 12684 kg/m3

Cell lengths 6.9469, 6.9469, 5.5546 Å; angles 51.29, 51.29, 90.00 degrees
Last column: nearest neighbours and their distance in Å.
Sites, in units of the cell vectors:
Ir  0.0000  0.0000  0.0000  4 V 2.49, 2 W 2.59
W  0.5000  0.5000  0.0000  4 V 2.59, 2 Ir 2.59
V  0.1141  0.6250  0.2500  2 Ir 2.49, 2 W 2.59, 2 V 2.60
W  0.2500  0.7500  0.5000  4 V 2.59, 2 Ir 2.59
V  0.8750  0.8859  0.7500  2 Ir 2.49, 2 W 2.59, 2 V 2.60
V  0.3750  0.3641  0.7500  2 Ir 2.49, 2 W 2.59, 2 V 2.60
V  0.6359  0.1250  0.2500  2 Ir 2.49, 2 W 2.59, 2 V 2.60
Ir  0.7500  0.2500  0.5000  4 V 2.49, 2 W 2.59

=====

No. 2
Below is a relaxed Ce2AlSi4Os3 crystal, with properties calculated at the PBE level.

Values from the calculation:
**Space group**: No. 115
**Formation energy from raw total energies**: -0.569 eV/atom
**Theoretical density**: 9434 kg/m3

Cell lengths 4.0899, 4.0899, 10.4201 Å; angles 90.00, 90.00, 90.00 degrees
Last column: nearest neighbours and their distance in Å.
Sites, in units of the cell vectors:
Ce  0.5000  0.0000  0.2379  6 Os 3.11-3.41, 8 Si 3.16-3.21, 2 Al 3.41
Si  0.5000  0.5000  0.0000  4 Os 2.44
Si  0.0000  0.0000  0.0000  4 Os 2.44
Os  0.5000  0.0000  0.8716  5 Si 2.41-2.44
Os  0.0000  0.0000  0.5000  4 Si 2.51
Ce  0.0000  0.5000  0.7621  6 Os 3.11-3.41, 8 Si 3.16-3.21, 2 Al 3.41
Si  0.5000  0.0000  0.6404  3 Os 2.41-2.51, 2 Al 2.51
Si  0.0000  0.5000  0.3596  3 Os 2.41-2.51, 2 Al 2.51
Al  0.5000  0.5000  0.5000  4 Si 2.51
Os  0.0000  0.5000  0.1284  5 Si 2.41-2.44

=====

No. 3
Below is a relaxed InHg2Pb2 crystal, with properties calculated at the PBE level.

Values from the calculation:
**Space group**: No. 127
**DFT formation energy**: 0.0574 eV/atom
**Relative energy among the computed polymorphs**: 0 meV per atom
**Theoretical density**: 10732 kg/m3

Cell lengths 7.8039, 7.8039, 4.7277 Å; angles 90.00, 90.00, 90.00 degrees
Last column: nearest neighbours and their distance in Å.
Sites, in units of the cell vectors:
Pb  0.1660  0.6660  0.5000  6 Hg 3.21-3.35
Hg  0.8630  0.6370  0.0000  1 Hg 3.02, 2 In 3.03, 6 Pb 3.21-3.35
Pb  0.8340  0.3340  0.5000  6 Hg 3.21-3.35
Hg  0.3630  0.8630  0.0000  1 Hg 3.02, 2 In 3.03, 6 Pb 3.21-3.35
Hg  0.1369  0.3630  0.0000  1 Hg 3.02, 2 In 3.03, 6 Pb 3.21-3.35
In  0.5000  0.5000  0.0000  4 Hg 3.03
Pb  0.3340  0.1660  0.5000  6 Hg 3.21-3.35
Pb  0.6660  0.8340  0.5000  6 Hg 3.21-3.35
In  0.0000  0.0000  0.0000  4 Hg 3.03
Hg  0.6370  0.1369  0.0000  1 Hg 3.02, 2 In 3.03, 6 Pb 3.21-3.35

=====

No. 4
Below is a relaxed Ca2TaN crystal, with properties calculated at the PBE level.

Values from the calculation:
**Space group**: No. 122
**Formation energy from raw total energies**: -0.057 eV/atom
**Theoretical density**: 4647 kg/m3

Cell lengths 9.8599, 9.8599, 7.2595 Å; angles 47.23, 47.23, 90.00 degrees
Last column: nearest neighbours and their distance in Å.
Sites, in units of the cell vectors:
Ca  0.3750  0.5372  0.7500  2 N 2.66
Ca  0.8750  0.7128  0.7500  2 N 2.66
N  0.2500  0.7500  0.5000  2 Ta 2.02
Ca  0.2872  0.6250  0.2500  2 N 2.66
Ta  0.7500  0.2500  0.5000  2 N 2.02
Ca  0.4628  0.1250  0.2500  2 N 2.66
Ta  0.0000  0.0000  0.0000  2 N 2.02
N  0.5000  0.5000  0.0000  2 Ta 2.02